1.
VASP calculation (PBE) on a relaxed Y2ZrSeS crystal.

Calculated values
- V: 31.20 A^3/atom
- E_form (uncorrected): 37.7 meV per atom
- Symmetry: P4/mmm
- DOS(E_F): 2.85 states/eV per cell

Unit cell a=5.650 b=5.650 c=4.887 alpha=90.00 beta=90.00 gamma=90.00
Fractional positions:
Y: 0.000 0.500 0.000
Y: 0.500 0.000 0.000
Zr: 0.000 0.000 0.000
Se: 0.000 0.000 0.500
S: 0.500 0.500 0.500

---

2.
VASP calculation (PBE) on a relaxed Ce3Sb2O3 crystal.

Calculated values
- V: 21.77 A^3/atom
- E_form (uncorrected): -1984.2 meV per atom
- Symmetry: P-62m
- DOS(E_F): 9.53 states/eV per cell

Unit cell a=8.121 b=8.121 c=3.049 alpha=90.00 beta=90.00 gamma=120.00
Fractional positions:
Ce: 0.000 0.752 0.000
Ce: 0.248 0.248 0.000
Ce: 0.752 0.000 0.000
Sb: 0.333 0.667 0.500
Sb: 0.667 0.333 0.500
O: 0.000 0.189 0.500
O: 0.189 0.000 0.500
O: 0.811 0.811 0.500

---

3.
VASP calculation (PBE) on a relaxed CePm3S6 crystal.

Calculated values
- V: 25.37 A^3/atom
- E_form (uncorrected): -2034.4 meV per atom
- Symmetry: P2_1/m
- DOS(E_F): 14.03 states/eV per cell

Unit cell a=11.297 b=4.080 c=11.586 alpha=90.00 beta=108.14 gamma=90.00
Fractional positions:
Ce: 0.046 0.250 0.190
Ce: 0.954 0.750 0.810
Pm: 0.161 0.250 0.584
Pm: 0.319 0.750 0.997
Pm: 0.433 0.250 0.331
Pm: 0.567 0.750 0.669
Pm: 0.681 0.250 0.003
Pm: 0.839 0.750 0.416
S: 0.083 0.750 0.401
S: 0.112 0.250 0.961
S: 0.189 0.750 0.750
S: 0.255 0.750 0.223
S: 0.400 0.250 0.564
S: 0.478 0.250 0.112
S: 0.522 0.750 0.888
S: 0.600 0.750 0.436
S: 0.745 0.250 0.777
S: 0.811 0.250 0.250
S: 0.888 0.750 0.039
S: 0.917 0.250 0.599

---

4.
VASP calculation (PBE) on a relaxed Li6Sb2S7 crystal.

Calculated values
- V: 19.67 A^3/atom
- E_form (uncorrected): -848.9 meV per atom
- Symmetry: C2/m
- DOS(E_F): 1.76 states/eV per cell

Unit cell a=7.402 b=7.402 c=6.519 alpha=107.12 beta=107.12 gamma=61.57
Fractional positions:
Li: 0.077 0.641 0.727
Li: 0.348 0.348 0.249
Li: 0.359 0.923 0.273
Li: 0.641 0.077 0.727
Li: 0.652 0.652 0.751
Li: 0.923 0.359 0.273
Sb: 0.127 0.127 0.747
Sb: 0.873 0.873 0.253
S: 0.000 0.000 0.000
S: 0.000 0.500 0.000
S: 0.243 0.757 0.500
S: 0.262 0.262 0.545
S: 0.500 0.000 0.000
S: 0.738 0.738 0.455
S: 0.757 0.243 0.500